No. 1
Density functional theory data (PBE) for SiRu2W after structural relaxation.

Geometry as POSCAR:
```
SiRu2W
1.0
-2.793 2.793 5.227
2.793 -2.793 5.227
2.793 2.793 -5.227
Si Ru W
2 4 2
Direct
0.000 0.000 0.000 Si
0.750 0.250 0.500 Si
0.109 0.625 0.984 Ru
0.375 0.359 0.484 Ru
0.641 0.125 0.016 Ru
0.875 0.891 0.516 Ru
0.250 0.750 0.500 W
0.500 0.500 0.000 W
```

calculated volume	163.1	Å³/cell
formation energy without anion corrections	71.0	kJ/mol of atoms

No. 2
Density functional theory data (PBE) for Nd2DyTm5Sc after structural relaxation.

Geometry as POSCAR:
```
Nd2DyTm5Sc
1.0
-4.236 4.236 7.749
4.236 -4.236 7.749
4.236 4.236 -7.749
Nd Dy Tm Sc
4 2 10 2
Direct
0.119 0.619 0.739 Nd
0.381 0.119 0.500 Nd
0.619 0.881 0.500 Nd
0.881 0.381 0.261 Nd
0.250 0.250 0.000 Dy
0.750 0.750 0.000 Dy
0.000 0.000 0.000 Tm
0.067 0.147 0.500 Tm
0.147 0.647 0.080 Tm
0.353 0.433 0.500 Tm
0.433 0.933 0.080 Tm
0.500 0.500 0.000 Tm
0.567 0.067 0.920 Tm
0.647 0.567 0.500 Tm
0.853 0.353 0.920 Tm
0.933 0.853 0.500 Tm
0.250 0.750 0.500 Sc
0.750 0.250 0.500 Sc
```

calculated volume	556.1	Å³/cell
ΔH_f (0 K)	0.276	eV per atom

No. 3
Density functional theory data (PBE) for PuZn6Au6 after structural relaxation.

Geometry as POSCAR:
```
PuZn6Au6
1.0
-2.626 4.554 4.748
2.626 -4.554 4.748
2.626 4.554 -4.748
Pu Zn Au
1 6 6
Direct
0.000 0.000 0.000 Pu
0.000 0.000 0.500 Zn
0.000 0.500 0.000 Zn
0.241 0.500 0.741 Zn
0.500 0.000 0.000 Zn
0.500 0.500 0.500 Zn
0.759 0.500 0.259 Zn
0.178 0.678 0.500 Au
0.338 0.000 0.338 Au
0.341 0.341 0.000 Au
0.659 0.659 0.000 Au
0.662 0.000 0.662 Au
0.822 0.322 0.500 Au
```

calculated volume	227.1	Å³/cell
ΔH_f (0 K)	-0.271	eV per atom

No. 4
Density functional theory data (PBE) for HgBi3 after structural relaxation.

Geometry as POSCAR:
```
HgBi3
1.0
-1.679 5.692 3.208
1.679 -5.692 3.208
1.679 5.692 -3.208
Hg Bi
1 3
Direct
0.000 0.000 0.000 Hg
0.447 0.947 0.500 Bi
0.506 0.740 0.766 Bi
0.974 0.740 0.234 Bi
```

offset from the most stable computed form	0	meV per atom
calculated volume	122.6	Å³/cell
ΔH_f (0 K)	0.089	eV per atom

No. 5
Density functional theory data (PBE) for ScMn5Al7 after structural relaxation.

Geometry as POSCAR:
```
ScMn5Al7
1.0
-2.471 4.328 4.302
2.471 -4.328 4.302
2.471 4.328 -4.302
Sc Mn Al
1 5 7
Direct
0.000 0.000 0.000 Sc
0.229 0.729 0.500 Mn
0.494 0.003 0.010 Mn
0.494 0.484 0.491 Mn
0.993 0.003 0.509 Mn
0.993 0.484 0.990 Mn
0.205 0.501 0.704 Al
0.325 0.986 0.338 Al
0.330 0.330 0.000 Al
0.648 0.986 0.662 Al
0.660 0.660 0.000 Al
0.771 0.271 0.500 Al
0.797 0.501 0.296 Al
```

calculated volume	184.0	Å³/cell
ΔH_f (0 K)	-0.300	eV per atom

No. 6
Density functional theory data (PBE) for TbPu2ScBi4 after structural relaxation.

Geometry as POSCAR:
```
TbPu2ScBi4
1.0
7.727 0.000 0.000
0.000 4.461 0.000
-2.577 0.000 7.291
Tb Pu Sc Bi
1 2 1 4
Direct
0.000 0.000 0.000 Tb
0.500 0.000 0.500 Pu
0.500 0.500 0.000 Pu
0.000 0.500 0.500 Sc
0.238 0.000 0.739 Bi
0.243 0.500 0.255 Bi
0.757 0.500 0.745 Bi
0.762 0.000 0.261 Bi
```

calculated volume	251.4	Å³/cell
ΔH_f (0 K)	-0.539	eV per atom